Entry 1:
Below is a relaxed structure of CaTl2ReO6, with properties calculated at the PBE level.

Computed properties:
- Raw formation energy: -1.442 eV per atom

Structure (CIF):
```
data_CaTl2ReO6
_chemical_formula_sum 'Ca1 Tl2 Re1 O6'
_cell_length_a 6.3777
_cell_length_b 6.3777
_cell_length_c 6.0095
_cell_angle_alpha 90.00
_cell_angle_beta 90.00
_cell_angle_gamma 120.00
_space_group_name_H-M_alt 'P -3 m 1'
_space_group_IT_number 164
_space_group_name_Hall '-P 3 2"'
loop_
_atom_site_label
_atom_site_fract_x
_atom_site_fract_y
_atom_site_fract_z
_atom_site_occupancy
Ca1 0.0000 0.0000 0.0000 1
Tl1 0.3333 0.6667 0.4878 1
Re1 0.0000 0.0000 0.5000 1
O1 0.1377 0.2754 0.3082 1
```

***

Entry 2:
Below is a relaxed structure of CaTlReO6, with properties calculated at the PBE level.

Computed properties:
- Raw formation energy: -1.582 eV per atom

Structure (CIF):
```
data_CaTlReO6
_chemical_formula_sum 'Ca1 Tl1 Re1 O6'
_cell_length_a 5.5226
_cell_length_b 5.5226
_cell_length_c 4.6590
_cell_angle_alpha 90.00
_cell_angle_beta 90.00
_cell_angle_gamma 120.00
_space_group_name_H-M_alt 'P 3 1 2'
_space_group_IT_number 149
loop_
_space_group_symop_operation_xyz
'x,y,z'
'-y,x-y,z'
'-x+y,-x,z'
'-y,-x,-z'
'-x+y,y,-z'
'x,x-y,-z'
loop_
_atom_site_label
_atom_site_fract_x
_atom_site_fract_y
_atom_site_fract_z
_atom_site_occupancy
Ca1 0.0000 0.0000 0.0000 1
Tl1 0.3333 0.6667 0.5000 1
Re1 0.6667 0.3333 0.0000 1
O1 0.3867 0.0454 0.7687 1
```

***

Entry 3:
Below is a relaxed structure of Ca2Tl2ReO6, with properties calculated at the PBE level.

Computed properties:
- Raw formation energy: -1.834 eV per atom

Structure (CIF):
```
data_Ca2Tl2ReO6
_chemical_formula_sum 'Ca4 Tl4 Re2 O12'
_cell_length_a 5.848
_cell_length_b 9.979
_cell_length_c 6.724
_cell_angle_alpha 90.00
_cell_angle_beta 105.37
_cell_angle_gamma 90.00
_space_group_name_H-M_alt 'C 1 2/m 1'
_space_group_IT_number 12
loop_
_space_group_symop_operation_xyz
'x,y,z'
'-x,-y,-z'
'-x,y,-z'
'x,-y,z'
'x+1/2,y+1/2,z'
'-x+1/2,-y+1/2,-z'
'-x+1/2,y+1/2,-z'
'x+1/2,-y+1/2,z'
loop_
_atom_site_label
_atom_site_fract_x
_atom_site_fract_y
_atom_site_fract_z
_atom_site_occupancy
Ca1 0.000 0.164 0.000 1
Tl1 0.000 0.334 0.500 1
Re1 0.000 0.500 0.000 1
O1 0.190 0.359 0.163 1
O2 0.222 0.500 0.822 1
```

***

Entry 4:
Below is a relaxed structure of Ca3Tl3ReO8, with properties calculated at the PBE level.

Computed properties:
- Raw formation energy: -1.855 eV per atom

Structure (CIF):
```
data_Ca3Tl3ReO8
_chemical_formula_sum 'Ca9 Tl9 Re3 O24'
_cell_length_a 6.8872
_cell_length_b 6.8872
_cell_length_c 19.2061
_cell_angle_alpha 90.00
_cell_angle_beta 90.00
_cell_angle_gamma 120.00
_space_group_name_H-M_alt 'R -3 m'
_space_group_IT_number 166
_space_group_name_Hall '-R 3 2"'
loop_
_atom_site_label
_atom_site_fract_x
_atom_site_fract_y
_atom_site_fract_z
_atom_site_occupancy
Ca1 0.0000 0.5000 0.0000 1
Tl1 0.0000 0.5000 0.5000 1
Re1 0.0000 0.0000 0.0000 1
O1 0.0000 0.0000 0.2757 1
O2 0.0658 0.5329 0.7228 1
```

***

Entry 5:
Below is a relaxed structure of CaTlRe2O8, with properties calculated at the PBE level.

Computed properties:
- Raw formation energy: -1.808 eV per atom

Structure (CIF):
```
data_CaTlRe2O8
_chemical_formula_sum 'Ca1 Tl1 Re2 O8'
_cell_length_a 6.1004
_cell_length_b 6.1004
_cell_length_c 7.7304
_cell_angle_alpha 90.00
_cell_angle_beta 90.00
_cell_angle_gamma 120.00
_space_group_name_H-M_alt 'P -3'
_space_group_IT_number 147
loop_
_space_group_symop_operation_xyz
'x,y,z'
'-x,-y,-z'
'-y,x-y,z'
'y,-x+y,-z'
'-x+y,-x,z'
'x-y,x,-z'
loop_
_atom_site_label
_atom_site_fract_x
_atom_site_fract_y
_atom_site_fract_z
_atom_site_occupancy
Ca1 0.0000 0.0000 0.0000 1
Tl1 0.0000 0.0000 0.5000 1
Re1 0.3333 0.6667 0.2618 1
O1 0.1720 0.3470 0.1879 1
O2 0.3333 0.6667 0.4892 1
```

***

Entry 6:
Below is a relaxed structure of CaTm2ReO8, with properties calculated at the PBE level.

Computed properties:
- Raw formation energy: -2.535 eV per atom

Structure (CIF):
```
data_CaTm2ReO8
_chemical_formula_sum 'Ca2 Tm4 Re2 O16'
_cell_length_a 6.967
_cell_length_b 7.057
_cell_length_c 6.875
_cell_angle_alpha 90.00
_cell_angle_beta 90.00
_cell_angle_gamma 90.00
_space_group_name_H-M_alt 'C m m m'
_space_group_IT_number 65
_space_group_name_Hall '-C 2 2'
loop_
_atom_site_label
_atom_site_fract_x
_atom_site_fract_y
_atom_site_fract_z
_atom_site_occupancy
Ca1 0.000 0.000 0.000 1
Tm1 0.000 0.500 0.253 1
Re1 0.000 0.000 0.500 1
O1 0.000 0.185 0.302 1
O2 0.181 0.500 0.000 1
O3 0.223 0.500 0.500 1
```

***

Entry 7:
Below is a relaxed structure of Ca2TmReO8, with properties calculated at the PBE level.

Computed properties:
- Raw formation energy: -2.246 eV per atom

Structure (CIF):
```
data_Ca2TmReO8
_chemical_formula_sum 'Ca2 Tm1 Re1 O8'
_cell_length_a 4.683
_cell_length_b 5.264
_cell_length_c 6.517
_cell_angle_alpha 90.05
_cell_angle_beta 90.12
_cell_angle_gamma 90.68
_space_group_name_H-M_alt 'P -1'
_space_group_IT_number 2
loop_
_space_group_symop_operation_xyz
'x,y,z'
'-x,-y,-z'
loop_
_atom_site_label
_atom_site_fract_x
_atom_site_fract_y
_atom_site_fract_z
_atom_site_occupancy
Ca1 0.001 0.000 0.262 1
Tm1 0.500 0.500 0.000 1
Re1 0.500 0.500 0.500 1
O1 0.266 0.370 0.279 1
O2 0.267 0.369 0.720 1
O3 0.283 0.796 0.501 1
O4 0.362 0.925 0.000 1
```

***

Repeat the second record exactly.
Below is a relaxed structure of CaTlReO6, with properties calculated at the PBE level.

Computed properties:
- Raw formation energy: -1.582 eV per atom

Structure (CIF):
```
data_CaTlReO6
_chemical_formula_sum 'Ca1 Tl1 Re1 O6'
_cell_length_a 5.5226
_cell_length_b 5.5226
_cell_length_c 4.6590
_cell_angle_alpha 90.00
_cell_angle_beta 90.00
_cell_angle_gamma 120.00
_space_group_name_H-M_alt 'P 3 1 2'
_space_group_IT_number 149
loop_
_space_group_symop_operation_xyz
'x,y,z'
'-y,x-y,z'
'-x+y,-x,z'
'-y,-x,-z'
'-x+y,y,-z'
'x,x-y,-z'
loop_
_atom_site_label
_atom_site_fract_x
_atom_site_fract_y
_atom_site_fract_z
_atom_site_occupancy
Ca1 0.0000 0.0000 0.0000 1
Tl1 0.3333 0.6667 0.5000 1
Re1 0.6667 0.3333 0.0000 1
O1 0.3867 0.0454 0.7687 1
```

***

> The highest raw formation energy belongs to which entry?

CaTl2ReO6

***

> The highest raw formation energy belongs to which entry?

CaTl2ReO6